(1)
BaHg5Pb2 | Alexandria | PBE-GGA | relaxed; size of the total moment = 0.00 μB/f.u.; SG = Immm, No. 71; crystal system = orthorhombic; calculated total energy = -1.519 eV/atom; energy above the most stable polymorph in this dataset = 0.002 eV/atom; ρ = 10.39 g cm⁻³
1.0
4.505 0.000 1.489
1.215 6.921 3.884
-0.154 0.216 8.024
Ba Hg Pb
1 5 2
direct
0.000 0.000 0.000
0.000 0.500 0.500
0.618 0.584 0.179
0.382 0.416 0.821
0.382 0.821 0.416
0.618 0.179 0.584
0.761 0.739 0.739
0.239 0.261 0.261

(2)
Ba5Hg2Pb5 | Alexandria | PBE-GGA | relaxed; size of the total moment = 0.00 μB/f.u.; SG = C2/m, No. 12; crystal system = monoclinic; calculated total energy = -2.896 eV/atom; ρ = 7.82 g cm⁻³
1.0
5.273 0.000 1.190
2.808 8.997 -0.167
0.568 -1.379 9.763
Ba Hg Pb
5 2 5
direct
0.000 0.500 0.500
0.691 0.683 0.936
0.328 0.001 0.344
0.672 0.999 0.656
0.309 0.317 0.064
0.432 0.417 0.720
0.568 0.583 0.280
0.711 0.254 0.323
0.990 0.250 0.770
0.010 0.750 0.230
0.289 0.746 0.677
0.000 0.000 0.000

Number 1: energy of formation -0.16 eV/atom. Number 2: energy of formation -0.50 eV/atom.